(1)
Computed, not measured: InMo2 after structural relaxation at the GGA-PBE level of DFT.

Lattice parameters (Å, degrees): 5.3742 5.3742 5.3742 60.00 60.00 60.00
With the nearest neighbours (Å) after each atom.
Fractional positions:
Mo 0.1250 0.6250 0.1250  6 Mo 2.69
Mo 0.1250 0.1250 0.6250  6 Mo 2.69
Mo 0.1250 0.1250 0.1250  6 Mo 2.69
Mo 0.6250 0.1250 0.1250  6 Mo 2.69
In 0.5000 0.5000 0.5000  12 Mo 3.15, 4 In 3.29
In 0.7500 0.7500 0.7500  12 Mo 3.15, 4 In 3.29

Properties
- Formation energy from the elements: 0.42 eV/atom
- Energy above the most stable polymorph in this dataset: 252 meV per atom
- N(E_F): 0.958 states/eV per atom

(2)
Computed, not measured: In3Mo2 after structural relaxation at the GGA-PBE level of DFT.

Lattice parameters (Å, degrees): 12.1586 12.1586 12.1586 14.54 14.54 14.54
With the nearest neighbours (Å) after each atom.
Fractional positions:
Mo 0.3979 0.3979 0.3979  6 In 2.92-2.93, 6 Mo 3.08
Mo 0.6021 0.6021 0.6021  6 In 2.92-2.93, 6 Mo 3.08
In 0.2045 0.2045 0.2045  3 Mo 2.92, 9 In 3.08-3.25
In 0.7955 0.7955 0.7955  3 Mo 2.92, 9 In 3.08-3.25
In 0.0000 0.0000 0.0000  6 Mo 2.93, 6 In 3.08

Properties
- Formation energy from the elements: 0.47 eV/atom
- Energy above the most stable polymorph in this dataset: 184 meV per atom
- N(E_F): 0.998 states/eV per atom

(3)
Computed, not measured: InMo2 after structural relaxation at the GGA-PBE level of DFT.

Lattice parameters (Å, degrees): 4.6559 4.6559 5.7386 90.00 90.00 120.00
With the nearest neighbours (Å) after each atom.
Fractional positions:
Mo 0.3333 0.6667 0.5274  4 Mo 2.55-2.71
Mo 0.6667 0.3333 0.0274  4 Mo 2.55-2.71
Mo 0.3333 0.6667 0.9726  4 Mo 2.55-2.71
Mo 0.6667 0.3333 0.4726  4 Mo 2.55-2.71
In 0.0000 0.0000 0.7500  2 In 2.87, 12 Mo 2.98-3.12
In 0.0000 0.0000 0.2500  2 In 2.87, 12 Mo 2.98-3.12

Properties
- Formation energy from the elements: 0.41 eV/atom
- Energy above the most stable polymorph in this dataset: 241 meV per atom
- N(E_F): 0.634 states/eV per atom

(4)
Computed, not measured: InMo3 after structural relaxation at the GGA-PBE level of DFT.

Lattice parameters (Å, degrees): 5.8708 5.8708 4.6342 90.00 90.00 120.00
With the nearest neighbours (Å) after each atom.
Fractional positions:
In 0.6667 0.3333 0.7500  12 Mo 2.94-2.97
In 0.3333 0.6667 0.2500  12 Mo 2.94-2.97
Mo 0.8494 0.1506 0.2500  6 Mo 2.65-2.78, 4 In 2.94-2.97
Mo 0.6988 0.8494 0.7500  6 Mo 2.65-2.78, 4 In 2.94-2.97
Mo 0.8494 0.6988 0.2500  6 Mo 2.65-2.78, 4 In 2.94-2.97
Mo 0.1506 0.8494 0.7500  6 Mo 2.65-2.78, 4 In 2.94-2.97
Mo 0.3012 0.1506 0.2500  6 Mo 2.65-2.78, 4 In 2.94-2.97
Mo 0.1506 0.3012 0.7500  6 Mo 2.65-2.78, 4 In 2.94-2.97

Properties
- Formation energy from the elements: 0.20 eV/atom
- N(E_F): 0.316 states/eV per atom

- The highest formation energy from the elements belongs to which entry?
  In3Mo2